Material: Mn2RuPb
Method: DFT, PBE-GGA
State: relaxed

```
Mn2RuPb
1.0
1.5046 0.8687 8.8723
-1.5046 0.8687 8.8723
0.0000 -1.7374 8.8723
Mn Ru Pb
2 1 1
direct
0.0000 0.0000 0.0000
0.2565 0.2565 0.2565
0.7342 0.7342 0.7342
0.4925 0.4925 0.4925
```

Calculated values
- ΔE_f: 0.61 eV per atom
- Magnetization: 1.520 μB/atom
- Final energy: -7.220 eV/atom